Entry 1:
Compound: ScTeI2Cl
Source: Alexandria
Functional: GGA-PBE
Structure: relaxed

total energy: -3.344 eV per atom
symmetry: No. 123
DOS at the Fermi energy: 1.26 states/eV/atom
energy above the lowest structure with this stoichiometry: 0.000 eV/atom
ΔE_f (raw): -0.46 eV/atom

Cell: 5.5878 5.5878 5.8063 Å, 90.00 90.00 90.00°
Atoms (fractional coordinates):
Sc (0.0000, 0.0000, 0.0000)
Te (0.0000, 0.0000, 0.5000)
I (0.0000, 0.5000, 0.0000)
I (0.5000, 0.0000, 0.0000)
Cl (0.5000, 0.5000, 0.5000)


Entry 2:
Compound: Ge2SbH
Source: Alexandria
Functional: GGA-PBE
Structure: relaxed

total energy: -3.773 eV per atom
symmetry: No. 166
DOS at the Fermi energy: 0.15 states/eV/atom
energy above the lowest structure with this stoichiometry: 0.012 eV/atom

Cell: 6.5817 6.5817 6.5817 Å, 40.10 40.10 40.10°
Atoms (fractional coordinates):
Ge (0.0999, 0.0999, 0.0999)
Ge (0.9001, 0.9001, 0.9001)
Sb (0.5000, 0.5000, 0.5000)
H (0.0000, 0.0000, 0.0000)


Entry 3:
Compound: Cs2NbI4Cl2
Source: Alexandria
Functional: GGA-PBE
Structure: relaxed

total energy: -3.586 eV per atom
symmetry: No. 12
DOS at the Fermi energy: 0.34 states/eV/atom
ΔE_f (raw): -1.18 eV/atom

Cell: 8.0290 8.0290 6.9345 Å, 96.19 96.19 62.73°
Atoms (fractional coordinates):
Cs (0.1547, 0.1547, 0.2830)
Cs (0.8453, 0.8453, 0.7170)
Nb (0.5000, 0.5000, 0.5000)
I (0.1611, 0.6451, 0.2540)
I (0.3549, 0.8389, 0.7460)
I (0.6451, 0.1611, 0.2540)
I (0.8389, 0.3549, 0.7460)
Cl (0.3663, 0.3663, 0.6888)
Cl (0.6337, 0.6337, 0.3112)


Entry 4:
Compound: Cs2NaHgH
Source: Alexandria
Functional: GGA-PBE
Structure: relaxed

total energy: -1.359 eV per atom
symmetry: No. 123
DOS at the Fermi energy: 0.12 states/eV/atom
energy above the lowest structure with this stoichiometry: 0.051 eV/atom

Cell: 5.9588 5.9588 6.1281 Å, 90.00 90.00 90.00°
Atoms (fractional coordinates):
Cs (0.0000, 0.5000, 0.0000)
Cs (0.5000, 0.0000, 0.0000)
Na (0.0000, 0.0000, 0.5000)
Hg (0.5000, 0.5000, 0.5000)
H (0.5000, 0.5000, 0.0000)